DFT (PBE) results for a geometry-optimized Li7Pt structure.

abc: 4.4697 4.4697 22.5441
angles: 90.00 90.00 120.00
With the nearest neighbours (Å) after each atom.
Space group R-3m (No. 166, hexagonal axes)
Asymmetric unit:
Li1 0.0000 0.0000 0.0000  8 Li 2.82-2.94
Li2 0.0000 0.0000 0.1306  4 Li 2.49-2.72, 3 Pt 2.71
Li3 0.0000 0.0000 0.2411  7 Li 2.49-2.75
Li4 0.0000 0.0000 0.3839  1 Pt 2.62, 6 Li 2.75-2.82
Pt1 0.0000 0.0000 0.5000  8 Li 2.62-2.71

Summary:
Its energy of formation from the pure elements is -19.8 kJ per mole of atoms. As for the density of states at the Fermi level: 8.33 states/eV/cell. The energy is -2.635 eV/atom.